First-principles (GGA-PBE) data for a relaxed structure of LiEuAg, as listed in Alexandria via LeMat-Bulk.

Cell lengths 4.130, 4.667, 4.667 Å; angles 120.00, 90.00, 90.00 degrees
Each line ends with the local moment (μB).
Sites, in units of the cell vectors:
Eu1 0.667 0.667 0.333  6.88
Li1 0.167 0.000 0.000  0.01
Ag1 0.167 0.333 0.667  0.00

Computed properties:
- Total energy: -15.55 eV/cell
- Energy above the lowest structure with this stoichiometry: 0.0 meV per atom
- Energy of formation from the pure elements: -16.51 kJ/mol of atoms
- SG: P-6m2 (187)
- Crystal system: hexagonal